No. 1
The following is a PBE calculation of Ti5Mn2Al2Ni after structural relaxation, from Alexandria via LeMat-Bulk.

Structure (CIF):
```
data_Ti5Mn2Al2Ni
_space_group_name_H-M_alt 'P 1'
_space_group_IT_number 1
_cell_length_a 10.073
_cell_length_b 10.073
_cell_length_c 3.014
_cell_angle_alpha 90.00
_cell_angle_beta 90.00
_cell_angle_gamma 90.00
loop_
_space_group_symop_operation_xyz
'x,y,z'
loop_
_atom_site_label
_atom_site_type_symbol
_atom_site_fract_x
_atom_site_fract_y
_atom_site_fract_z
Ti1 Ti 0.000 0.500 0.000
Ti2 Ti 0.072 0.196 0.000
Ti3 Ti 0.196 0.928 0.000
Ti4 Ti 0.304 0.428 0.000
Ti5 Ti 0.428 0.696 0.000
Ti6 Ti 0.500 0.000 0.000
Ti7 Ti 0.572 0.304 0.000
Ti8 Ti 0.696 0.572 0.000
Ti9 Ti 0.804 0.072 0.000
Ti10 Ti 0.928 0.804 0.000
Mn1 Mn 0.135 0.365 0.500
Mn2 Mn 0.365 0.865 0.500
Mn3 Mn 0.635 0.135 0.500
Mn4 Mn 0.865 0.635 0.500
Al1 Al 0.172 0.672 0.500
Al2 Al 0.328 0.172 0.500
Al3 Al 0.672 0.828 0.500
Al4 Al 0.828 0.328 0.500
Ni1 Ni 0.000 0.000 0.500
Ni2 Ni 0.500 0.500 0.500
```

Properties
- Magnetization: 0.00 μB/f.u.
- VASP energy: -7.29 eV/atom
- Energy of formation from the pure elements: -4.27 kcal/mol of atoms



No. 2
The following is a PBE calculation of Li2TaSb after structural relaxation, from Alexandria via LeMat-Bulk.

Structure (CIF):
```
data_Li2TaSb
_space_group_name_H-M_alt 'P 1'
_space_group_IT_number 1
_cell_length_a 2.994
_cell_length_b 4.335
_cell_length_c 5.647
_cell_angle_alpha 90.00
_cell_angle_beta 90.00
_cell_angle_gamma 90.00
loop_
_space_group_symop_operation_xyz
'x,y,z'
loop_
_atom_site_label
_atom_site_type_symbol
_atom_site_fract_x
_atom_site_fract_y
_atom_site_fract_z
Li1 Li 0.000 0.000 0.245
Li2 Li 0.000 0.000 0.755
Ta1 Ta 0.500 0.500 0.000
Sb1 Sb 0.500 0.500 0.500
```

Properties
- Magnetization: 0.00 μB/f.u.
- VASP energy: -4.77 eV/atom
- Formation energy without anion corrections: 0.1774 eV per atom



No. 3
The following is a PBE calculation of Nb12Mo5Au3 after structural relaxation, from Alexandria via LeMat-Bulk.

Structure (CIF):
```
data_Nb12Mo5Au3
_space_group_name_H-M_alt 'P 1'
_space_group_IT_number 1
_cell_length_a 13.203
_cell_length_b 13.203
_cell_length_c 13.203
_cell_angle_alpha 109.47
_cell_angle_beta 109.47
_cell_angle_gamma 109.47
loop_
_space_group_symop_operation_xyz
'x,y,z'
loop_
_atom_site_label
_atom_site_type_symbol
_atom_site_fract_x
_atom_site_fract_y
_atom_site_fract_z
Nb1 Nb 0.055 0.221 0.138
Nb2 Nb 0.055 0.334 0.917
Nb3 Nb 0.083 0.638 0.416
Nb4 Nb 0.083 0.945 0.666
Nb5 Nb 0.084 0.721 0.666
Nb6 Nb 0.084 0.862 0.417
Nb7 Nb 0.138 0.055 0.221
Nb8 Nb 0.138 0.583 0.916
Nb9 Nb 0.166 0.221 0.584
Nb10 Nb 0.166 0.445 0.583
Nb11 Nb 0.221 0.138 0.055
Nb12 Nb 0.221 0.584 0.166
Nb13 Nb 0.279 0.334 0.916
Nb14 Nb 0.279 0.445 0.362
Nb15 Nb 0.334 0.916 0.279
Nb16 Nb 0.334 0.917 0.055
Nb17 Nb 0.362 0.279 0.445
Nb18 Nb 0.362 0.584 0.917
Nb19 Nb 0.416 0.083 0.638
Nb20 Nb 0.416 0.834 0.779
Nb21 Nb 0.417 0.084 0.862
Nb22 Nb 0.417 0.834 0.555
Nb23 Nb 0.445 0.362 0.279
Nb24 Nb 0.445 0.583 0.166
Nb25 Nb 0.555 0.417 0.834
Nb26 Nb 0.555 0.638 0.721
Nb27 Nb 0.583 0.166 0.445
Nb28 Nb 0.583 0.916 0.138
Nb29 Nb 0.584 0.166 0.221
Nb30 Nb 0.584 0.917 0.362
Nb31 Nb 0.638 0.416 0.083
Nb32 Nb 0.638 0.721 0.555
Nb33 Nb 0.666 0.083 0.945
Nb34 Nb 0.666 0.084 0.721
Nb35 Nb 0.721 0.555 0.638
Nb36 Nb 0.721 0.666 0.084
Nb37 Nb 0.779 0.416 0.834
Nb38 Nb 0.779 0.862 0.945
Nb39 Nb 0.834 0.555 0.417
Nb40 Nb 0.834 0.779 0.416
Nb41 Nb 0.862 0.417 0.084
Nb42 Nb 0.862 0.945 0.779
Nb43 Nb 0.916 0.138 0.583
Nb44 Nb 0.916 0.279 0.334
Nb45 Nb 0.917 0.055 0.334
Nb46 Nb 0.917 0.362 0.584
Nb47 Nb 0.945 0.666 0.083
Nb48 Nb 0.945 0.779 0.862
Mo1 Mo 0.000 0.000 0.000
Mo2 Mo 0.000 0.000 0.500
Mo3 Mo 0.000 0.500 0.000
Mo4 Mo 0.000 0.500 0.500
Mo5 Mo 0.125 0.750 0.875
Mo6 Mo 0.125 0.875 0.250
Mo7 Mo 0.250 0.125 0.875
Mo8 Mo 0.250 0.625 0.375
Mo9 Mo 0.375 0.250 0.625
Mo10 Mo 0.375 0.625 0.750
Mo11 Mo 0.500 0.000 0.000
Mo12 Mo 0.500 0.000 0.500
Mo13 Mo 0.500 0.500 0.000
Mo14 Mo 0.500 0.500 0.500
Mo15 Mo 0.625 0.375 0.250
Mo16 Mo 0.625 0.750 0.375
Mo17 Mo 0.750 0.375 0.625
Mo18 Mo 0.750 0.875 0.125
Mo19 Mo 0.875 0.125 0.750
Mo20 Mo 0.875 0.250 0.125
Au1 Au 0.125 0.250 0.375
Au2 Au 0.125 0.375 0.750
Au3 Au 0.250 0.375 0.125
Au4 Au 0.250 0.875 0.625
Au5 Au 0.375 0.125 0.250
Au6 Au 0.375 0.750 0.125
Au7 Au 0.625 0.250 0.875
Au8 Au 0.625 0.875 0.750
Au9 Au 0.750 0.125 0.375
Au10 Au 0.750 0.625 0.875
Au11 Au 0.875 0.625 0.250
Au12 Au 0.875 0.750 0.625
```

Properties
- Magnetization: 0.00 μB/f.u.
- VASP energy: -8.06 eV/atom
- Energy of formation from the pure elements: 27.27 kcal/mol of atoms



- VASP energy of number 3 (Nb12Mo5Au3)?
  -8.06 eV/atom